[1]
Computed, not measured: a relaxed Pa2GaTe6 crystal at the GGA-PBE level of DFT.

Geometry as POSCAR:
```
Pa2GaTe6
1.0
-3.317 1.740 -6.194
0.936 -7.239 -2.535
-8.525 -2.434 3.805
Te Ga Pa
12 2 4
direct
0.834 0.662 0.562
0.833 0.977 0.235
0.853 0.669 0.935
0.667 0.477 0.265
0.167 0.023 0.765
0.647 0.169 0.565
0.147 0.331 0.065
0.666 0.162 0.938
0.353 0.831 0.435
0.334 0.838 0.062
0.333 0.523 0.735
0.166 0.338 0.438
0.000 0.000 0.500
0.500 0.500 0.000
0.544 0.850 0.753
0.456 0.150 0.247
0.956 0.350 0.747
0.044 0.650 0.253
```

## Properties
**Crystal system**: monoclinic
**Fermi-level density of states**: 0.63 states/eV/atom
**Formation energy without anion corrections**: -0.606 eV/atom


[2]
Computed, not measured: a relaxed Sc2TlRe crystal at the GGA-PBE level of DFT.

Geometry as POSCAR:
```
Sc2TlRe
1.0
9.255 -0.011 -0.006
8.681 3.208 -0.006
8.681 1.548 2.810
Sc Re Tl
2 1 1
direct
0.489 0.489 0.489
0.011 0.011 0.011
0.750 0.750 0.750
0.250 0.250 0.250
```

## Properties
**Crystal system**: trigonal
**Formation energy**: -0.02 eV/atom
**Fermi-level density of states**: 0.75 states/eV/atom


Q: What is the Fermi-level density of states in the second record?
A: 0.75 states/eV/atom